(1)
Computed, not measured: crystalline RbNa2In at its relaxed geometry at the PBE-GGA level of DFT.

Symmetry: P4/mmm, No. 123
Total DFT energy (no corrections): -6.3 eV/cell
M_tot: 0.00 μB per cell

Geometry as CIF:
```
data_RbNa2In
_chemical_formula_sum 'Rb1 Na2 In1'
_space_group_name_H-M_alt 'P 1'
_space_group_IT_number 1
_cell_length_a 4.270
_cell_length_b 4.270
_cell_length_c 8.975
_cell_angle_alpha 90.00
_cell_angle_beta 90.00
_cell_angle_gamma 90.00
loop_
_space_group_symop_operation_xyz
'x,y,z'
loop_
_atom_site_label
_atom_site_type_symbol
_atom_site_fract_x
_atom_site_fract_y
_atom_site_fract_z
Na1 Na 0.000 0.000 0.824
Na2 Na 0.000 0.000 0.176
Rb1 Rb 0.500 0.500 0.500
In1 In 0.500 0.500 0.000
```


(2)
Computed, not measured: crystalline NdHo2Au3 at its relaxed geometry at the PBE-GGA level of DFT.

Symmetry: P4/mmm, No. 123
Total DFT energy (no corrections): -28.8 eV/cell
M_tot: 0.00 μB per cell

Geometry as CIF:
```
data_NdHo2Au3
_chemical_formula_sum 'Nd1 Ho2 Au3'
_space_group_name_H-M_alt 'P 1'
_space_group_IT_number 1
_cell_length_a 3.597
_cell_length_b 3.597
_cell_length_c 11.044
_cell_angle_alpha 90.00
_cell_angle_beta 90.00
_cell_angle_gamma 90.00
loop_
_space_group_symop_operation_xyz
'x,y,z'
loop_
_atom_site_label
_atom_site_type_symbol
_atom_site_fract_x
_atom_site_fract_y
_atom_site_fract_z
Nd1 Nd 0.500 0.500 0.500
Ho1 Ho 0.500 0.500 0.837
Ho2 Ho 0.500 0.500 0.163
Au1 Au 0.000 0.000 0.000
Au2 Au 0.000 0.000 0.683
Au3 Au 0.000 0.000 0.317
```


(3)
Computed, not measured: crystalline SrPt2 at its relaxed geometry at the PBE-GGA level of DFT.

Symmetry: Fd-3m, No. 227
Total DFT energy (no corrections): -32.7 eV/cell
M_tot: 0.00 μB per cell

Geometry as CIF:
```
data_SrPt2
_chemical_formula_sum 'Sr2 Pt4'
_space_group_name_H-M_alt 'P 1'
_space_group_IT_number 1
_cell_length_a 5.574
_cell_length_b 5.574
_cell_length_c 5.574
_cell_angle_alpha 60.00
_cell_angle_beta 60.00
_cell_angle_gamma 60.00
loop_
_space_group_symop_operation_xyz
'x,y,z'
loop_
_atom_site_label
_atom_site_type_symbol
_atom_site_fract_x
_atom_site_fract_y
_atom_site_fract_z
Pt1 Pt 0.000 0.000 0.000
Pt2 Pt 0.500 0.500 0.000
Pt3 Pt 0.000 0.500 0.500
Pt4 Pt 0.000 0.500 0.000
Sr1 Sr 0.625 0.125 0.625
Sr2 Sr 0.375 0.875 0.375
```